Entry from Alexandria via LeMat-Bulk: crystalline K2Hg2Te2Se at its relaxed geometry (GGA-PBE).

a b c (Å): 7.9256 7.9256 8.6877
angles (deg): 121.33 121.33 34.17
With the nearest neighbours (Å) after each atom.
Sites, in units of the cell vectors:
K  0.0523  0.0523  0.3020  2 Se 3.24
K  0.9477  0.9477  0.6980  2 Se 3.24
Hg  0.3023  0.3023  0.2036  1 Se 2.69, 2 Te 2.87
Hg  0.6977  0.6977  0.7964  1 Se 2.69, 2 Te 2.87
Te  0.3262  0.3262  0.8719  3 Hg 2.87-3.09
Te  0.6738  0.6738  0.1281  3 Hg 2.87-3.09
Se  0.5000  0.5000  0.5000  2 Hg 2.69

Results
Uncorrected energy = -0.0877 hartree per atom
Space group = C2/m
Formation energy (no corrections) = -592 meV/atom
Total moment = 0.000 μB/f.u.